# 1
Computed, not measured: a geometry-optimized Nd2NiRh2 structure at the PBE-GGA level of DFT.

Geometry as POSCAR:
```
Nd2NiRh2
1.0
5.553 0.212 1.058
2.629 4.896 1.058
0.299 0.187 7.760
Rh Ni Nd
4 2 4
direct
0.754 0.999 0.502
0.001 0.246 0.998
0.246 0.001 0.498
0.999 0.754 0.002
0.830 0.170 0.750
0.170 0.830 0.250
0.780 0.522 0.346
0.522 0.780 0.846
0.478 0.220 0.154
0.220 0.478 0.654
```

Computed properties:
* crystal system: monoclinic
* formation enthalpy at 0 K: -521 meV per atom
* M_tot: 0.000 μB/cell

# 2
Computed, not measured: a geometry-optimized NdNi3Rh2 structure at the PBE-GGA level of DFT.

Geometry as POSCAR:
```
NdNi3Rh2
1.0
5.121 0.000 0.000
0.000 6.132 -1.017
0.000 0.235 6.211
Ni Rh Nd
6 4 2
direct
0.250 0.923 0.549
0.250 0.941 0.941
0.750 0.451 0.077
0.250 0.549 0.923
0.750 0.077 0.451
0.750 0.059 0.059
0.500 0.225 0.775
0.500 0.775 0.225
0.000 0.225 0.775
0.000 0.775 0.225
0.750 0.699 0.699
0.250 0.301 0.301
```

Computed properties:
* crystal system: orthorhombic
* formation enthalpy at 0 K: -196 meV per atom
* M_tot: 0.105 μB/cell

# 3
Computed, not measured: a geometry-optimized Nd12NiRh6 structure at the PBE-GGA level of DFT.

Geometry as POSCAR:
```
Nd12NiRh6
1.0
-0.010 1.541 8.220
-8.231 -0.656 -1.326
2.069 -8.102 0.083
Rh Nd Ni
6 12 1
direct
0.617 0.307 0.133
0.307 0.133 0.617
0.867 0.383 0.693
0.133 0.617 0.307
0.383 0.693 0.867
0.693 0.867 0.383
0.080 0.953 0.321
0.047 0.679 0.920
0.584 0.420 0.823
0.823 0.584 0.420
0.953 0.321 0.080
0.321 0.080 0.953
0.920 0.047 0.679
0.580 0.177 0.416
0.416 0.580 0.177
0.420 0.823 0.584
0.177 0.416 0.580
0.679 0.920 0.047
0.000 0.000 0.000
```

Computed properties:
* crystal system: trigonal
* formation enthalpy at 0 K: -460 meV per atom
* M_tot: 0.000 μB/cell

# 4
Computed, not measured: a geometry-optimized Nd8NiRh2 structure at the PBE-GGA level of DFT.

Geometry as POSCAR:
```
Nd8NiRh2
1.0
6.076 -0.200 -0.301
-1.276 7.837 -0.454
-1.276 -3.437 7.057
Nd Rh Ni
8 2 1
direct
0.076 0.343 0.095
0.662 0.359 0.359
0.924 0.657 0.905
0.500 0.216 0.784
0.500 0.784 0.216
0.924 0.905 0.657
0.338 0.641 0.641
0.076 0.095 0.343
0.000 0.709 0.291
0.000 0.291 0.709
0.500 0.000 0.000
```

Computed properties:
* crystal system: monoclinic
* formation enthalpy at 0 K: -209 meV per atom
* M_tot: 0.000 μB/cell

# 5
Computed, not measured: a geometry-optimized Nd4NiRh3 structure at the PBE-GGA level of DFT.

Geometry as POSCAR:
```
Nd4NiRh3
1.0
3.988 0.000 0.000
0.000 4.185 0.000
0.000 0.000 11.033
Ni Nd Rh
1 4 3
direct
0.500 0.500 0.074
0.500 0.500 0.360
0.000 0.000 0.141
0.000 0.500 0.860
0.500 0.000 0.641
0.500 0.000 0.928
0.000 0.500 0.587
0.000 0.000 0.410
```

Computed properties:
* crystal system: orthorhombic
* formation enthalpy at 0 K: -607 meV per atom
* M_tot: 0.000 μB/cell

# 6
Computed, not measured: a geometry-optimized Nd2Ni2Rh structure at the PBE-GGA level of DFT.

Geometry as POSCAR:
```
Nd2Ni2Rh
1.0
5.226 0.023 0.198
2.382 4.652 0.198
1.365 0.839 8.070
Ni Rh Nd
4 2 4
direct
0.003 0.251 0.001
0.997 0.749 0.999
0.251 0.003 0.501
0.749 0.997 0.499
0.842 0.158 0.750
0.158 0.842 0.250
0.524 0.778 0.847
0.778 0.524 0.347
0.222 0.476 0.653
0.476 0.222 0.153
```

Computed properties:
* crystal system: monoclinic
* formation enthalpy at 0 K: -429 meV per atom
* M_tot: 0.000 μB/cell

# 7
Computed, not measured: a geometry-optimized Nd2Ni15Rh2 structure at the PBE-GGA level of DFT.

Geometry as POSCAR:
```
Nd2Ni15Rh2
1.0
6.366 -0.026 -0.023
0.800 6.315 -0.023
0.800 0.702 6.276
Nd Ni Rh
2 15 2
direct
0.657 0.657 0.657
0.343 0.343 0.343
0.000 0.500 0.000
0.655 0.655 0.156
0.707 0.293 0.000
0.500 0.000 0.000
0.293 0.000 0.707
0.345 0.844 0.345
0.655 0.156 0.655
0.844 0.345 0.345
0.293 0.707 0.000
0.156 0.655 0.655
0.000 0.000 0.500
0.000 0.293 0.707
0.345 0.345 0.844
0.000 0.707 0.293
0.707 0.000 0.293
0.103 0.103 0.103
0.897 0.897 0.897
```

Computed properties:
* crystal system: trigonal
* formation enthalpy at 0 K: -166 meV per atom
* M_tot: 8.365 μB/cell

# 8
Computed, not measured: a geometry-optimized Nd2Ni2Rh structure at the PBE-GGA level of DFT.

Geometry as POSCAR:
```
Nd2Ni2Rh
1.0
7.043 0.000 0.000
0.000 7.043 0.000
0.000 0.000 7.887
Rh Ni Nd
4 8 8
direct
0.000 0.000 0.250
0.500 0.500 0.250
0.000 0.000 0.750
0.500 0.500 0.750
0.619 0.119 0.250
0.119 0.381 0.750
0.119 0.381 0.250
0.881 0.619 0.250
0.381 0.881 0.750
0.881 0.619 0.750
0.619 0.119 0.750
0.381 0.881 0.250
0.686 0.814 0.000
0.186 0.686 0.000
0.686 0.814 0.500
0.186 0.686 0.500
0.314 0.186 0.500
0.814 0.314 0.000
0.814 0.314 0.500
0.314 0.186 0.000
```

Computed properties:
* crystal system: tetragonal
* formation enthalpy at 0 K: -357 meV per atom
* M_tot: 0.000 μB/cell

# 9
Computed, not measured: a geometry-optimized NdNi2Rh2 structure at the PBE-GGA level of DFT.

Geometry as POSCAR:
```
NdNi2Rh2
1.0
-3.673 0.701 1.536
-0.319 -3.900 1.016
6.287 3.675 8.039
Rh Ni Nd
4 4 2
direct
0.932 0.932 0.863
0.750 0.250 0.500
0.250 0.750 0.500
0.068 0.068 0.137
0.181 0.181 0.361
0.819 0.819 0.639
0.500 0.000 0.000
0.000 0.500 0.000
0.376 0.376 0.752
0.624 0.624 0.248
```

Computed properties:
* crystal system: tetragonal
* formation enthalpy at 0 K: -195 meV per atom
* M_tot: 3.822 μB/cell

# 10
Computed, not measured: a geometry-optimized Nd2Ni5Rh5 structure at the PBE-GGA level of DFT.

Geometry as POSCAR:
```
Nd2Ni5Rh5
1.0
-1.882 -3.424 -1.081
2.405 -2.562 3.925
-6.752 1.995 5.439
Ni Rh Nd
5 5 2
direct
0.500 0.000 0.000
0.000 0.500 0.668
0.000 0.500 0.332
0.000 0.000 0.154
0.000 0.000 0.846
0.500 0.248 0.755
0.500 0.248 0.245
0.500 0.752 0.245
0.500 0.752 0.755
0.500 0.500 0.500
0.000 0.000 0.500
0.000 0.500 0.000
```

Computed properties:
* crystal system: orthorhombic
* formation enthalpy at 0 K: -347 meV per atom
* M_tot: 0.000 μB/cell

# 11
Computed, not measured: a geometry-optimized Nd3NiRh2 structure at the PBE-GGA level of DFT.

Geometry as POSCAR:
```
Nd3NiRh2
1.0
4.117 0.000 0.000
0.000 11.664 0.000
0.000 0.000 11.613
Rh Nd Ni
8 12 4
direct
0.750 0.308 0.513
0.250 0.808 0.987
0.750 0.993 0.684
0.750 0.192 0.013
0.250 0.007 0.316
0.250 0.493 0.816
0.250 0.692 0.487
0.750 0.507 0.184
0.250 0.807 0.711
0.250 0.375 0.054
0.750 0.558 0.620
0.250 0.125 0.554
0.750 0.875 0.446
0.250 0.693 0.211
0.250 0.058 0.880
0.750 0.942 0.120
0.750 0.625 0.946
0.250 0.442 0.380
0.750 0.193 0.289
0.750 0.307 0.789
0.250 0.372 0.626
0.750 0.872 0.874
0.750 0.628 0.374
0.250 0.128 0.126
```

Computed properties:
* crystal system: orthorhombic
* formation enthalpy at 0 K: -562 meV per atom
* M_tot: 0.000 μB/cell

# 12
Computed, not measured: a geometry-optimized Nd2Ni3Rh structure at the PBE-GGA level of DFT.

Geometry as POSCAR:
```
Nd2Ni3Rh
1.0
4.580 -0.136 -2.405
-2.912 4.272 -0.221
-0.136 0.185 5.305
Rh Ni Nd
1 3 2
direct
0.000 0.000 0.000
0.500 0.500 0.500
0.000 0.000 0.500
0.500 0.000 0.500
0.753 0.377 0.130
0.247 0.623 0.870
```

Computed properties:
* crystal system: trigonal
* formation enthalpy at 0 K: -418 meV per atom
* M_tot: 0.000 μB/cell